a) This record from OQMD via LeMat-Bulk describes a geometry-optimized Hf2CoIr structure. The functional is PBE-GGA.

Lattice parameters (Å, degrees): 4.5567 13.6709 6.4516 90.00 90.00 90.00
Atoms (fractional coordinates):
Hf (0.0000, 0.0000, 0.2500)
Hf (0.0000, 0.0000, 0.7500)
Hf (0.0013, 0.3333, 0.2500)
Hf (0.0013, 0.3333, 0.7500)
Hf (0.4987, 0.8333, 0.2500)
Hf (0.4987, 0.8333, 0.7500)
Hf (0.5000, 0.5000, 0.2500)
Hf (0.5000, 0.5000, 0.7500)
Hf (0.5013, 0.1667, 0.2500)
Hf (0.5013, 0.1667, 0.7500)
Hf (0.9987, 0.6667, 0.2500)
Hf (0.9987, 0.6667, 0.7500)
Co (0.0000, 0.5000, 0.0000)
Co (0.0023, 0.1666, 0.0000)
Co (0.4977, 0.6666, 0.5000)
Co (0.5000, 0.0000, 0.5000)
Co (0.5023, 0.3334, 0.5000)
Co (0.9977, 0.8334, 0.0000)
Ir (0.0000, 0.5000, 0.5000)
Ir (0.0014, 0.1667, 0.5000)
Ir (0.4986, 0.6667, 0.0000)
Ir (0.5000, 0.0000, 0.0000)
Ir (0.5014, 0.3333, 0.0000)
Ir (0.9986, 0.8333, 0.5000)



b) This record from OQMD via LeMat-Bulk describes a geometry-optimized Hf2CoIr structure. The functional is PBE-GGA.

Lattice parameters (Å, degrees): 4.4957 4.4957 4.4957 60.00 60.00 60.00
Atoms (fractional coordinates):
Hf (0.0000, 0.0000, 0.0000)
Hf (0.2500, 0.2500, 0.2500)
Co (0.7500, 0.7500, 0.7500)
Ir (0.5000, 0.5000, 0.5000)



c) This record from OQMD via LeMat-Bulk describes a geometry-optimized Hf2CoIr structure. The functional is PBE-GGA.

Lattice parameters (Å, degrees): 6.3735 6.6139 6.3328 90.00 90.00 90.00
Atoms (fractional coordinates):
Hf (0.2486, 0.0006, 0.2476)
Hf (0.2486, 0.4994, 0.2476)
Hf (0.2514, 0.5006, 0.7476)
Hf (0.2514, 0.9994, 0.7476)
Hf (0.7486, 0.0006, 0.2524)
Hf (0.7486, 0.4994, 0.2524)
Hf (0.7514, 0.5006, 0.7524)
Hf (0.7514, 0.9994, 0.7524)
Co (0.0026, 0.2500, 0.9938)
Co (0.4974, 0.7500, 0.4938)
Co (0.5026, 0.2500, 0.5062)
Co (0.9974, 0.7500, 0.0062)
Ir (0.0021, 0.2500, 0.4971)
Ir (0.4979, 0.7500, 0.9971)
Ir (0.5021, 0.2500, 0.0029)
Ir (0.9979, 0.7500, 0.5029)



Most stable = a)



a) This record from OQMD via LeMat-Bulk describes a geometry-optimized Hf2CoIr structure. The functional is PBE-GGA.

Lattice parameters (Å, degrees): 4.5578 4.5578 4.5578 60.00 60.00 60.00
Atoms (fractional coordinates):
Hf (0.2500, 0.2500, 0.2500)
Hf (0.7500, 0.7500, 0.7500)
Co (0.0000, 0.0000, 0.0000)
Ir (0.5000, 0.5000, 0.5000)



b) This record from OQMD via LeMat-Bulk describes a geometry-optimized Hf2CoIr structure. The functional is PBE-GGA.

Lattice parameters (Å, degrees): 4.4802 4.4802 3.3256 90.00 90.00 90.00
Atoms (fractional coordinates):
Hf (0.0000, 0.5000, 0.0000)
Hf (0.5000, 0.0000, 0.0000)
Co (0.0000, 0.0000, 0.5000)
Ir (0.5000, 0.5000, 0.5000)



Most stable = a)



a) This record from OQMD via LeMat-Bulk describes a geometry-optimized HfCoIr structure. The functional is PBE-GGA.

Lattice parameters (Å, degrees): 4.1528 4.1528 4.1528 60.00 60.00 60.00
Atoms (fractional coordinates):
Hf (0.0000, 0.0000, 0.0000)
Co (0.2500, 0.2500, 0.2500)
Ir (0.5000, 0.5000, 0.5000)



b) This record from OQMD via LeMat-Bulk describes a geometry-optimized HfCoIr structure. The functional is PBE-GGA.

Lattice parameters (Å, degrees): 4.2346 4.2346 4.2346 60.00 60.00 60.00
Atoms (fractional coordinates):
Hf (0.0000, 0.0000, 0.0000)
Co (0.7500, 0.7500, 0.7500)
Ir (0.2500, 0.2500, 0.2500)



Most stable = a)



a) This record from OQMD via LeMat-Bulk describes a geometry-optimized HfCoSbIr structure. The functional is PBE-GGA.

Lattice parameters (Å, degrees): 4.5640 4.5640 4.5640 60.00 60.00 60.00
Atoms (fractional coordinates):
Hf (0.0000, 0.0000, 0.0000)
Co (0.7500, 0.7500, 0.7500)
Sb (0.5000, 0.5000, 0.5000)
Ir (0.2500, 0.2500, 0.2500)



b) This record from OQMD via LeMat-Bulk describes a geometry-optimized HfCoSbIr structure. The functional is PBE-GGA.

Lattice parameters (Å, degrees): 4.5823 4.5823 4.5823 60.00 60.00 60.00
Atoms (fractional coordinates):
Hf (0.0000, 0.0000, 0.0000)
Co (0.5000, 0.5000, 0.5000)
Sb (0.2500, 0.2500, 0.2500)
Ir (0.7500, 0.7500, 0.7500)



Most stable = a)



a) This record from OQMD via LeMat-Bulk describes a geometry-optimized HfCoSiIr structure. The functional is PBE-GGA.

Lattice parameters (Å, degrees): 4.3973 4.3973 4.3973 60.00 60.00 60.00
Atoms (fractional coordinates):
Hf (0.0000, 0.0000, 0.0000)
Co (0.5000, 0.5000, 0.5000)
Si (0.2500, 0.2500, 0.2500)
Ir (0.7500, 0.7500, 0.7500)



b) This record from OQMD via LeMat-Bulk describes a geometry-optimized HfCoSiIr structure. The functional is PBE-GGA.

Lattice parameters (Å, degrees): 4.3520 4.3520 4.3520 60.00 60.00 60.00
Atoms (fractional coordinates):
Hf (0.0000, 0.0000, 0.0000)
Co (0.7500, 0.7500, 0.7500)
Si (0.5000, 0.5000, 0.5000)
Ir (0.2500, 0.2500, 0.2500)



Most stable = b)



a) This record from OQMD via LeMat-Bulk describes a geometry-optimized HfZnCoIr structure. The functional is PBE-GGA.

Lattice parameters (Å, degrees): 4.4198 4.4198 4.4198 60.00 60.00 60.00
Atoms (fractional coordinates):
Hf (0.0000, 0.0000, 0.0000)
Zn (0.2500, 0.2500, 0.2500)
Co (0.5000, 0.5000, 0.5000)
Ir (0.7500, 0.7500, 0.7500)



b) This record from OQMD via LeMat-Bulk describes a geometry-optimized HfZnCoIr structure. The functional is PBE-GGA.

Lattice parameters (Å, degrees): 4.3676 4.3676 4.3676 60.00 60.00 60.00
Atoms (fractional coordinates):
Hf (0.0000, 0.0000, 0.0000)
Zn (0.5000, 0.5000, 0.5000)
Co (0.7500, 0.7500, 0.7500)
Ir (0.2500, 0.2500, 0.2500)



Most stable = b)